A:
Density functional theory data (PBE) for a geometry-optimized HS2F structure.

Lattice parameters (Å, degrees): 3.990 3.990 3.990 60.00 60.00 60.00
Fractional positions:
H: 0.000 0.000 0.000
S: 0.250 0.250 0.250
S: 0.750 0.750 0.750
F: 0.500 0.500 0.500

Calculated values
total moment	0.000	μB/atom

---

B:
Density functional theory data (PBE) for a geometry-optimized HS2F structure.

Lattice parameters (Å, degrees): 3.887 3.887 7.515 75.01 75.01 90.00
Fractional positions:
H: 0.500 0.500 0.000
H: 0.250 0.750 0.500
S: 0.500 0.125 0.250
S: 0.250 0.625 0.250
S: 0.375 0.500 0.750
S: 0.875 0.750 0.750
F: 0.000 0.000 0.000
F: 0.750 0.250 0.500

Calculated values
total moment	0.000	μB/atom

---

C:
Density functional theory data (PBE) for a geometry-optimized HS2F structure.

Lattice parameters (Å, degrees): 7.320 7.320 7.320 21.06 21.06 21.06
Fractional positions:
H: 0.000 0.000 0.000
S: 0.924 0.924 0.924
S: 0.076 0.076 0.076
F: 0.500 0.500 0.500

Calculated values
total moment	0.000	μB/atom

---

It is B that is most stable; the runner-up trails by 19 meV per atom.